! KMn2Cd (PBE, relaxed); values from VASP
&SYSTEM
  ibrav = 0, nat = 4, ntyp = 3
/
ATOMIC_SPECIES
Cd 112.41 Cd.upf
K 39.10 K.upf
Mn 54.94 Mn.upf
CELL_PARAMETERS angstrom
4.843 0.000 0.000
0.000 2.975 0.064
0.000 0.983 7.108
ATOMIC_POSITIONS crystal
Cd 0.500 0.250 0.250
K 0.500 0.750 0.750
Mn 0.000 0.025 0.096
Mn 0.000 0.475 0.404
! - M_tot: 7.9 μB per formula unit
! - DFT total energy: -4.406 eV/atom
! - Symmetry: P2/m (10)
! - DOS at the Fermi energy: 3.4 states/eV per cell

! K2MnCd (PBE, relaxed); values from VASP
&SYSTEM
  ibrav = 0, nat = 4, ntyp = 3
/
ATOMIC_SPECIES
Cd 112.41 Cd.upf
K 39.10 K.upf
Mn 54.94 Mn.upf
CELL_PARAMETERS angstrom
3.845 0.000 0.000
0.000 3.845 0.000
0.000 0.000 10.222
ATOMIC_POSITIONS crystal
Cd 0.500 0.500 0.667
K 0.000 0.000 0.927
K 0.500 0.500 0.320
Mn 0.000 0.000 0.587
! - M_tot: 4.3 μB per formula unit
! - DFT total energy: -2.689 eV/atom
! - Symmetry: P4mm (99)
! - DOS at the Fermi energy: 2.5 states/eV per cell

! KMnCd3 (PBE, relaxed); values from VASP
&SYSTEM
  ibrav = 0, nat = 5, ntyp = 3
/
ATOMIC_SPECIES
K 39.10 K.upf
Mn 54.94 Mn.upf
Cd 112.41 Cd.upf
CELL_PARAMETERS angstrom
-1.445 4.942 1.375
-3.574 -1.994 3.413
3.679 0.003 3.855
ATOMIC_POSITIONS crystal
K 0.500 0.500 0.500
Mn 0.000 0.000 0.000
Cd 0.000 0.500 0.000
Cd 0.000 0.000 0.500
Cd 0.500 0.000 0.000
! - M_tot: 3.5 μB per formula unit
! - Energy relative to the lowest polymorph listed for this composition: 0.0 meV per atom
! - Symmetry: Pm-3m (221)
! - DOS at the Fermi energy: 5.7 states/eV per cell

! KMn2Cd (PBE, relaxed); values from VASP
&SYSTEM
  ibrav = 0, nat = 4, ntyp = 3
/
ATOMIC_SPECIES
Cd 112.41 Cd.upf
K 39.10 K.upf
Mn 54.94 Mn.upf
CELL_PARAMETERS angstrom
-0.405 -1.193 -2.860
2.392 -1.955 0.476
-3.407 -8.230 3.916
ATOMIC_POSITIONS crystal
Cd 0.000 0.563 0.436
K 0.500 0.741 0.759
Mn 0.000 0.931 0.070
Mn 0.500 0.265 0.235
! - M_tot: 7.4 μB per formula unit
! - DFT total energy: -4.519 eV/atom
! - Symmetry: Pm (6)
! - DOS at the Fermi energy: 3.9 states/eV per cell

Copy entry 3 word for word.
! KMnCd3 (PBE, relaxed); values from VASP
&SYSTEM
  ibrav = 0, nat = 5, ntyp = 3
/
ATOMIC_SPECIES
K 39.10 K.upf
Mn 54.94 Mn.upf
Cd 112.41 Cd.upf
CELL_PARAMETERS angstrom
-1.445 4.942 1.375
-3.574 -1.994 3.413
3.679 0.003 3.855
ATOMIC_POSITIONS crystal
K 0.500 0.500 0.500
Mn 0.000 0.000 0.000
Cd 0.000 0.500 0.000
Cd 0.000 0.000 0.500
Cd 0.500 0.000 0.000
! - M_tot: 3.5 μB per formula unit
! - Energy relative to the lowest polymorph listed for this composition: 0.0 meV per atom
! - Symmetry: Pm-3m (221)
! - DOS at the Fermi energy: 5.7 states/eV per cell